# LaPt2Rh

An optimized crystal structure of LaPt2Rh (PBE, Alexandria via LeMat-Bulk).

Calculated values
Magnetic moment   0.00 μB per cell
Space-group type   I4/mmm (139)
E_tot   -26.69 eV per cell
Formation enthalpy at 0 K   -13.44 kcal/mol of atoms

Cell lengths 5.213, 5.213, 5.213 Å; angles 132.80, 132.80, 68.96 degrees
Sites, in units of the cell vectors:
La 0.000 0.000 0.000
Pt 0.250 0.750 0.500
Pt 0.750 0.250 0.500
Rh 0.500 0.500 0.000